First-principles (PBE) data for an optimized crystal structure of GaPH, as listed in the Alexandria database.

Lattice parameters (Å, degrees): 10.6027 3.9365 5.7047 90.00 106.12 90.00
With the nearest neighbours (Å) after each atom.
Space group C2/m (No. 12)
Unique sites:
1 Ga 0.1038 0.0000 0.4438  3 P 2.41-2.46, 1 Ga 2.46
2 P 0.1743 0.5000 0.2711  1 H 1.43
3 H 0.1474 0.5000 0.0120  1 P 1.43

DFT total energy = -4.00 eV/atom
V = 228.7 Å³ per cell

First-principles (PBE) data for an optimized crystal structure of GaP2H, as listed in the Alexandria database.

Lattice parameters (Å, degrees): 4.8835 5.1193 6.2001 114.33 91.70 90.14
With the nearest neighbours (Å) after each atom.
Space group P1 (No. 1)
Unique sites:
1 Ga 0.0000 0.0000 0.0000  3 P 2.47-2.49, 1 Ga 2.62
2 Ga 0.1731 0.2216 0.4431  3 P 2.47-2.49, 1 Ga 2.62
3 P 0.3391 0.9955 0.7085  2 P 2.17-2.23
4 P 0.5384 0.5811 0.4970  2 P 2.17-2.23
5 P 0.6366 0.3046 0.9456  2 P 2.17-2.22
6 P 0.8348 0.5090 0.7343  2 P 2.17-2.22
7 H 0.0325 0.6086 0.2391  1 H 0.76
8 H 0.1716 0.5740 0.1828  1 H 0.76

DFT total energy = -4.33 eV/atom
V = 141.2 Å³ per cell

First-principles (PBE) data for an optimized crystal structure of GaPH, as listed in the Alexandria database.

Lattice parameters (Å, degrees): 8.4302 3.8006 6.4788 90.00 105.28 90.00
With the nearest neighbours (Å) after each atom.
Space group C2/m (No. 12)
Unique sites:
1 Ga 0.1149 0.0000 0.4114  2 P 2.44, 1 Ga 2.50
2 P 0.0865 0.5000 0.1680  1 H 1.42
3 H 0.2337 0.5000 0.1002  1 P 1.42

DFT total energy = -3.94 eV/atom
V = 200.2 Å³ per cell

First-principles (PBE) data for an optimized crystal structure of GaP2H, as listed in the Alexandria database.

Lattice parameters (Å, degrees): 5.9451 5.9451 5.9451 90.00 90.00 90.00
With the nearest neighbours (Å) after each atom.
Space group Fm-3m (No. 225)
Unique sites:
1 Ga 0.0000 0.0000 0.0000  8 P 2.57
2 P 0.2500 0.2500 0.2500  4 H 2.57, 4 Ga 2.57
3 H 0.0000 0.0000 0.5000  8 P 2.57

DFT total energy = -3.56 eV/atom
V = 210.1 Å³ per cell

First-principles (PBE) data for an optimized crystal structure of GaP2H, as listed in the Alexandria database.

Lattice parameters (Å, degrees): 5.1597 5.5703 5.6569 76.69 63.46 74.54
With the nearest neighbours (Å) after each atom.
Space group P1 (No. 1)
Unique sites:
1 Ga 0.0000 0.0000 0.0000  4 P 2.34-2.49
2 Ga 0.4750 0.5493 0.2979  4 P 2.38-2.56, 1 H 2.64
3 P 0.1640 0.9616 0.3500  1 P 2.21, 2 Ga 2.42-2.43
4 P 0.2863 0.3387 0.7820  2 P 2.15-2.28
5 P 0.4809 0.2110 0.0919  2 P 2.21-2.28, 1 Ga 2.42
6 P 0.9159 0.6363 0.9265  1 P 2.15, 2 Ga 2.34-2.38
7 H 0.5295 0.8394 0.5762  1 H 0.77
8 H 0.6364 0.7841 0.6434  1 H 0.77

DFT total energy = -4.27 eV/atom
V = 139.0 Å³ per cell

First-principles (PBE) data for an optimized crystal structure of GaPH, as listed in the Alexandria database.

Lattice parameters (Å, degrees): 4.0890 4.1712 5.8467 77.22 87.98 89.24
With the nearest neighbours (Å) after each atom.
Space group P1 (No. 1)
Unique sites:
1 Ga 0.0000 0.0000 0.0000  3 P 2.41-2.48, 1 Ga 2.52
2 Ga 0.0289 0.4968 0.3286  2 P 2.42-2.57, 1 Ga 2.52
3 P 0.4909 0.2844 0.0894  1 H 1.43
4 P 0.9924 0.9619 0.5941  1 H 1.43
5 H 0.4940 0.5389 0.8813  1 P 1.43
6 H 0.6430 0.9421 0.5919  1 P 1.43

DFT total energy = -3.95 eV/atom
V = 97.2 Å³ per cell

First-principles (PBE) data for an optimized crystal structure of GaPH, as listed in the Alexandria database.

Lattice parameters (Å, degrees): 4.6085 4.7507 5.1553 79.81 80.48 74.09
With the nearest neighbours (Å) after each atom.
Space group P-1 (No. 2)
Unique sites:
1 Ga 0.2212 0.1102 0.0004  2 P 2.45-2.48, 2 Ga 2.49-2.54
2 P 0.0680 0.5521 0.6767  1 H 1.43
3 H 0.3019 0.6852 0.5378  1 P 1.43

DFT total energy = -3.96 eV/atom
V = 106.0 Å³ per cell

First-principles (PBE) data for an optimized crystal structure of GaPH, as listed in the Alexandria database.

Lattice parameters (Å, degrees): 3.8765 3.8765 12.8211 90.00 90.00 120.00
With the nearest neighbours (Å) after each atom.
Space group R3m (No. 160, hexagonal axes)
Unique sites:
1 Ga 0.0000 0.0000 0.0000  1 H 1.85
2 P 0.0000 0.0000 0.7261  1 H 1.67
3 H 0.0000 0.0000 0.8560  1 P 1.67, 1 Ga 1.85

DFT total energy = -3.86 eV/atom
V = 166.9 Å³ per cell

First-principles (PBE) data for an optimized crystal structure of GaPH, as listed in the Alexandria database.

Lattice parameters (Å, degrees): 5.2863 6.3383 2.5122 90.00 90.72 90.00
With the nearest neighbours (Å) after each atom.
Space group C2 (No. 5)
Unique sites:
1 Ga 0.0000 0.0000 0.0000  1 H 2.10
2 P 0.0000 0.5664 0.0000  1 H 1.49
3 H 0.0000 0.3310 0.0000  1 P 1.49

DFT total energy = -3.75 eV/atom
V = 84.2 Å³ per cell

First-principles (PBE) data for an optimized crystal structure of GaP2H, as listed in the Alexandria database.

Lattice parameters (Å, degrees): 4.1469 5.7974 6.8718 90.16 90.00 90.38
With the nearest neighbours (Å) after each atom.
Space group P1 (No. 1)
Unique sites:
1 Ga 0.0000 0.0000 0.0000  4 P 2.40-2.42
2 Ga 0.0000 0.0000 0.5000  4 P 2.40-2.42
3 P 0.3212 0.8260 0.2496  1 P 2.21, 2 Ga 2.40
4 P 0.3246 0.1741 0.7504  1 P 2.21, 2 Ga 2.40
5 P 0.6347 0.8652 0.7497  1 H 1.44
6 P 0.6370 0.1350 0.2504  1 H 1.44
7 H 0.4389 0.6595 0.7496  1 P 1.44
8 H 0.4446 0.3405 0.2511  1 P 1.44

DFT total energy = -4.32 eV/atom
V = 165.2 Å³ per cell

First-principles (PBE) data for an optimized crystal structure of GaPH, as listed in the Alexandria database.

Lattice parameters (Å, degrees): 10.8105 3.9340 6.5084 90.00 125.11 90.00
With the nearest neighbours (Å) after each atom.
Space group Cm (No. 8)
Unique sites:
1 Ga 0.0000 0.0000 0.0000  3 P 2.40-2.41, 1 Ga 2.47
2 Ga 0.2206 0.5000 0.7178  3 P 2.43-2.44, 1 Ga 2.47
3 P 0.0711 0.5000 0.2596  1 H 1.43
4 P 0.1062 0.0000 0.7627  1 H 1.42
5 H 0.4336 0.0000 0.2431  1 P 1.43
6 H 0.4646 0.5000 0.5230  1 P 1.42

DFT total energy = -4.08 eV/atom
V = 226.4 Å³ per cell

First-principles (PBE) data for an optimized crystal structure of GaPH, as listed in the Alexandria database.

Lattice parameters (Å, degrees): 6.8137 3.9163 8.7638 90.00 99.07 90.00
With the nearest neighbours (Å) after each atom.
Space group Cm (No. 8)
Unique sites:
1 Ga 0.0000 0.0000 0.0000  4 P 2.36-2.39
2 Ga 0.0502 0.5000 0.4617  1 H 2.26
3 P 0.0673 0.0000 0.2728  1 H 1.44
4 P 0.3143 0.0000 0.9123  1 H 1.43
5 H 0.2795 0.0000 0.2761  1 P 1.44
6 H 0.2829 0.0000 0.7474  1 P 1.43

DFT total energy = -3.93 eV/atom
V = 230.9 Å³ per cell

Number 1: magnetic moment 0.000 μB per cell. Number 2: magnetic moment 0.000 μB per cell. Number 3: magnetic moment 0.000 μB per cell. Number 4: magnetic moment 0.000 μB per cell. Number 5: magnetic moment 0.000 μB per cell. Number 6: magnetic moment 0.000 μB per cell. Number 7: magnetic moment 0.000 μB per cell. Number 8: magnetic moment 0.000 μB per cell. Number 9: magnetic moment 0.000 μB per cell. Number 10: magnetic moment 0.000 μB per cell. Number 11: magnetic moment 0.000 μB per cell. Number 12: magnetic moment 0.000 μB per cell.